Record 1
## NaLi2BiBr6 (GGA-PBE)

Data for a relaxed NaLi2BiBr6 crystal.

Geometry as CIF:
```
data_NaLi2BiBr6
_cell_length_a 7.727
_cell_length_b 7.727
_cell_length_c 7.727
_cell_angle_alpha 55.34
_cell_angle_beta 55.34
_cell_angle_gamma 55.34
_space_group_name_H-M_alt 'P 1'
_space_group_IT_number 1
loop_
_space_group_symop_operation_xyz
'x,y,z'
loop_
_atom_site_label
_atom_site_fract_x
_atom_site_fract_y
_atom_site_fract_z
_atom_site_occupancy
Na1 0.000 0.000 0.000 1
Li1 0.293 0.293 0.293 1
Li2 0.806 0.806 0.806 1
Bi1 0.488 0.488 0.488 1
Br1 0.070 0.681 0.434 1
Br2 0.197 0.571 0.913 1
Br3 0.434 0.070 0.681 1
Br4 0.571 0.913 0.197 1
Br5 0.681 0.434 0.070 1
Br6 0.913 0.197 0.571 1
```

Output
- VASP energy (eV/atom) = -3.1118



Record 2
## CdFePdPt (GGA-PBE)

Data for a relaxed CdFePdPt crystal.

Geometry as CIF:
```
data_CdFePdPt
_cell_length_a 6.343
_cell_length_b 6.343
_cell_length_c 6.343
_cell_angle_alpha 90.00
_cell_angle_beta 90.00
_cell_angle_gamma 90.00
_space_group_name_H-M_alt 'P 1'
_space_group_IT_number 1
loop_
_space_group_symop_operation_xyz
'x,y,z'
loop_
_atom_site_label
_atom_site_fract_x
_atom_site_fract_y
_atom_site_fract_z
_atom_site_occupancy
Cd1 0.000 0.000 0.000 1
Cd2 0.000 0.500 0.500 1
Cd3 0.500 0.000 0.500 1
Cd4 0.500 0.500 0.000 1
Fe1 0.000 0.000 0.500 1
Fe2 0.000 0.500 0.000 1
Fe3 0.500 0.000 0.000 1
Fe4 0.500 0.500 0.500 1
Pd1 0.250 0.250 0.250 1
Pd2 0.250 0.750 0.750 1
Pd3 0.750 0.250 0.750 1
Pd4 0.750 0.750 0.250 1
Pt1 0.250 0.250 0.750 1
Pt2 0.250 0.750 0.250 1
Pt3 0.750 0.250 0.250 1
Pt4 0.750 0.750 0.750 1
```

Output
- calculated formation energy (eV per atom) = -0.131
- VASP energy (eV/atom) = -5.2841



Record 3
## Te2OsPdI (GGA-PBE)

Data for a relaxed Te2OsPdI crystal.

Geometry as CIF:
```
data_Te2OsPdI
_cell_length_a 5.086
_cell_length_b 5.086
_cell_length_c 5.760
_cell_angle_alpha 90.00
_cell_angle_beta 90.00
_cell_angle_gamma 90.00
_space_group_name_H-M_alt 'P 1'
_space_group_IT_number 1
loop_
_space_group_symop_operation_xyz
'x,y,z'
loop_
_atom_site_label
_atom_site_fract_x
_atom_site_fract_y
_atom_site_fract_z
_atom_site_occupancy
Te1 0.000 0.500 0.000 1
Te2 0.500 0.000 0.000 1
Os1 0.000 0.000 0.000 1
Pd1 0.500 0.500 0.500 1
I1 0.000 0.000 0.500 1
```

Output
- polymorph energy (0 for the lowest one) (kJ/mol of atoms) = 0.00
- VASP energy (eV/atom) = -3.9230



Record 4
## LiCaOs2C (GGA-PBE)

Data for a relaxed LiCaOs2C crystal.

Geometry as CIF:
```
data_LiCaOs2C
_cell_length_a 4.063
_cell_length_b 4.063
_cell_length_c 4.521
_cell_angle_alpha 90.00
_cell_angle_beta 90.00
_cell_angle_gamma 90.00
_space_group_name_H-M_alt 'P 1'
_space_group_IT_number 1
loop_
_space_group_symop_operation_xyz
'x,y,z'
loop_
_atom_site_label
_atom_site_fract_x
_atom_site_fract_y
_atom_site_fract_z
_atom_site_occupancy
Li1 0.000 0.000 0.000 1
Ca1 0.500 0.500 0.000 1
Os1 0.000 0.500 0.500 1
Os2 0.500 0.000 0.500 1
C1 0.000 0.000 0.500 1
```

Output
- calculated formation energy (eV per atom) = 0.153
- VASP energy (eV/atom) = -6.9667